# KSn2Te6Pb3 (PBE-GGA, relaxed)
# Formation energy from raw total energies   -0.408 eV/atom
# Total energy   -3.665 eV/atom
data_KSn2Te6Pb3
_cell_length_a 19.902
_cell_length_b 4.572
_cell_length_c 9.369
_cell_angle_alpha 90.00
_cell_angle_beta 100.81
_cell_angle_gamma 90.00
_symmetry_space_group_name_H-M 'C 1 2/m 1'
_symmetry_Int_Tables_number 12
loop_
_symmetry_equiv_pos_as_xyz
'x,y,z'
'-x,-y,-z'
'-x,y,-z'
'x,-y,z'
'x+1/2,y+1/2,z'
'-x+1/2,-y+1/2,-z'
'-x+1/2,y+1/2,-z'
'x+1/2,-y+1/2,z'
loop_
_atom_site_label
_atom_site_fract_x
_atom_site_fract_y
_atom_site_fract_z
_atom_site_occupancy
K1 0.000 0.000 0.000 1
Sn1 0.165 0.500 0.328 1
Te1 0.010 0.500 0.267 1
Te2 0.168 0.000 0.584 1
Te3 0.176 0.000 0.105 1
Pb1 0.000 0.000 0.500 1
Pb2 0.162 0.500 0.825 1

***

# K2SnTe4Pb (PBE-GGA, relaxed)
# Formation energy from raw total energies   -0.611 eV/atom
# Total energy   -3.420 eV/atom
data_K2SnTe4Pb
_cell_length_a 8.718
_cell_length_b 8.718
_cell_length_c 7.875
_cell_angle_alpha 90.00
_cell_angle_beta 90.00
_cell_angle_gamma 90.00
_symmetry_space_group_name_H-M 'I -4 2 m'
_symmetry_Int_Tables_number 121
_symmetry_space_group_name_Hall 'I -4 2'
loop_
_atom_site_label
_atom_site_fract_x
_atom_site_fract_y
_atom_site_fract_z
_atom_site_occupancy
K1 0.000 0.500 0.000 1
Sn1 0.000 0.000 0.000 1
Te1 0.183 0.183 0.787 1
Pb1 0.000 0.000 0.500 1

***

# KSn2Te4Pb (PBE-GGA, relaxed)
# Formation energy from raw total energies   -0.424 eV/atom
# Total energy   -3.596 eV/atom
data_KSn2Te4Pb
_cell_length_a 8.938
_cell_length_b 9.509
_cell_length_c 13.079
_cell_angle_alpha 90.00
_cell_angle_beta 90.00
_cell_angle_gamma 90.00
_symmetry_space_group_name_H-M 'I m m a'
_symmetry_Int_Tables_number 74
_symmetry_space_group_name_Hall '-I 2b 2'
loop_
_atom_site_label
_atom_site_fract_x
_atom_site_fract_y
_atom_site_fract_z
_atom_site_occupancy
K1 0.250 0.250 0.250 1
Sn1 0.000 0.000 0.000 1
Sn2 0.250 0.250 0.750 1
Te1 0.000 0.026 0.753 1
Te2 0.245 0.250 0.989 1
Pb1 0.000 0.000 0.500 1

***

# KSn3Te6Pb2 (PBE-GGA, relaxed)
# Formation energy from raw total energies   -0.398 eV/atom
# Total energy   -3.679 eV/atom
data_KSn3Te6Pb2
_cell_length_a 20.144
_cell_length_b 4.500
_cell_length_c 9.397
_cell_angle_alpha 90.00
_cell_angle_beta 104.07
_cell_angle_gamma 90.00
_symmetry_space_group_name_H-M 'C 1 2/m 1'
_symmetry_Int_Tables_number 12
loop_
_symmetry_equiv_pos_as_xyz
'x,y,z'
'-x,-y,-z'
'-x,y,-z'
'x,-y,z'
'x+1/2,y+1/2,z'
'-x+1/2,-y+1/2,-z'
'-x+1/2,y+1/2,-z'
'x+1/2,-y+1/2,z'
loop_
_atom_site_label
_atom_site_fract_x
_atom_site_fract_y
_atom_site_fract_z
_atom_site_occupancy
K1 0.000 0.000 0.000 1
Sn1 0.000 0.000 0.500 1
Sn2 0.166 0.500 0.834 1
Te1 0.002 0.500 0.274 1
Te2 0.163 0.000 0.590 1
Te3 0.176 0.000 0.085 1
Pb1 0.165 0.500 0.334 1

***

# KSnTe3Pb (PBE-GGA, relaxed)
# Formation energy from raw total energies   -0.463 eV/atom
# Total energy   -3.502 eV/atom
data_KSnTe3Pb
_cell_length_a 8.865
_cell_length_b 5.232
_cell_length_c 10.480
_cell_angle_alpha 90.00
_cell_angle_beta 105.52
_cell_angle_gamma 90.00
_symmetry_space_group_name_H-M 'P 1 21/m 1'
_symmetry_Int_Tables_number 11
loop_
_symmetry_equiv_pos_as_xyz
'x,y,z'
'-x,-y,-z'
'-x,y+1/2,-z'
'x,-y+1/2,z'
loop_
_atom_site_label
_atom_site_fract_x
_atom_site_fract_y
_atom_site_fract_z
_atom_site_occupancy
K1 0.242 0.250 0.247 1
Sn1 0.133 0.250 0.633 1
Te1 0.056 0.250 0.878 1
Te2 0.209 0.750 0.540 1
Te3 0.500 0.250 0.807 1
Pb1 0.320 0.750 0.896 1

***

# KSnTe4Pb2 (PBE-GGA, relaxed)
# Formation energy from raw total energies   -0.419 eV/atom
# Total energy   -3.554 eV/atom
data_KSnTe4Pb2
_cell_length_a 9.124
_cell_length_b 9.446
_cell_length_c 13.076
_cell_angle_alpha 90.00
_cell_angle_beta 90.00
_cell_angle_gamma 90.00
_symmetry_space_group_name_H-M 'I m m a'
_symmetry_Int_Tables_number 74
_symmetry_space_group_name_Hall '-I 2b 2'
loop_
_atom_site_label
_atom_site_fract_x
_atom_site_fract_y
_atom_site_fract_z
_atom_site_occupancy
K1 0.250 0.250 0.250 1
Sn1 0.000 0.000 0.000 1
Te1 0.000 0.014 0.755 1
Te2 0.242 0.250 0.995 1
Pb1 0.000 0.000 0.500 1
Pb2 0.250 0.250 0.750 1

***

# K2Tl6SnPb (PBE-GGA, relaxed)
# Total energy   -2.381 eV/atom
# Energy of formation   0.03 eV per atom
data_K2Tl6SnPb
_cell_length_a 8.0686
_cell_length_b 8.0686
_cell_length_c 41.9761
_cell_angle_alpha 90.00
_cell_angle_beta 90.00
_cell_angle_gamma 120.00
_symmetry_space_group_name_H-M 'R -3 m'
_symmetry_Int_Tables_number 166
_symmetry_space_group_name_Hall '-R 3 2"'
loop_
_atom_site_label
_atom_site_fract_x
_atom_site_fract_y
_atom_site_fract_z
_atom_site_occupancy
K1 0.0000 0.0000 0.1001 1
K2 0.0000 0.0000 0.2797 1
Tl1 0.0610 0.5305 0.8657 1
Tl2 0.0643 0.5322 0.3067 1
Sn1 0.0000 0.0000 0.0000 1
Sn2 0.0000 0.0000 0.5000 1
Pb1 0.0000 0.0000 0.4240 1

***

# KYSn2Pb (PBE-GGA, relaxed)
# Total energy   -2.851 eV/atom
# Energy of formation   1.00 eV per atom
data_KYSn2Pb
_cell_length_a 5.770
_cell_length_b 5.770
_cell_length_c 5.413
_cell_angle_alpha 90.00
_cell_angle_beta 90.00
_cell_angle_gamma 90.00
_symmetry_space_group_name_H-M 'P 4/m m m'
_symmetry_Int_Tables_number 123
_symmetry_space_group_name_Hall '-P 4 2'
loop_
_atom_site_label
_atom_site_fract_x
_atom_site_fract_y
_atom_site_fract_z
_atom_site_occupancy
K1 0.000 0.000 0.000 1
Y1 0.000 0.000 0.500 1
Sn1 0.000 0.500 0.000 1
Pb1 0.500 0.500 0.500 1

***

The highest total energy belongs to which entry?
K2Tl6SnPb

***

Among the records above, which one has the lowest total energy?
KSn3Te6Pb2

***

Number 7 is which compound?
K2Tl6SnPb